Entry 1:
# SmHfMg2, optimized geometry, DFT PBE
data_SmHfMg2
_cell_length_a 7.320
_cell_length_b 7.320
_cell_length_c 7.320
_cell_angle_alpha 90.00
_cell_angle_beta 90.00
_cell_angle_gamma 90.00
_symmetry_space_group_name_H-M 'F m -3 m'
_symmetry_Int_Tables_number 225
_symmetry_space_group_name_Hall '-F 4 2 3'
loop_
_atom_site_label
_atom_site_type_symbol
_atom_site_fract_x
_atom_site_fract_y
_atom_site_fract_z
Sm1 Sm 0.000 0.000 0.000
Hf1 Hf 0.000 0.000 0.500
Mg1 Mg 0.250 0.250 0.250
# * DFT formation energy: 121 meV/atom
# * E above lowest polymorph: 23 meV/atom
# * total magnetic moment: 0.0 μB/cell
# * VASP energy: -69.513 eV for the cell shown

Entry 2:
# SmHfMgZn, optimized geometry, DFT PBE
data_SmHfMgZn
_cell_length_a 7.109
_cell_length_b 7.109
_cell_length_c 7.109
_cell_angle_alpha 90.00
_cell_angle_beta 90.00
_cell_angle_gamma 90.00
_symmetry_space_group_name_H-M 'F -4 3 m'
_symmetry_Int_Tables_number 216
_symmetry_space_group_name_Hall 'F -4 2 3'
loop_
_atom_site_label
_atom_site_type_symbol
_atom_site_fract_x
_atom_site_fract_y
_atom_site_fract_z
Sm1 Sm 0.000 0.000 0.000
Hf1 Hf 0.000 0.000 0.500
Mg1 Mg 0.250 0.250 0.750
Zn1 Zn 0.250 0.250 0.250
# * DFT formation energy: 19 meV/atom
# * total magnetic moment: 0.0 μB/cell
# * VASP energy: -69.864 eV for the cell shown

Entry 3:
# HfMgSn3, optimized geometry, DFT PBE
data_HfMgSn3
_cell_length_a 5.238
_cell_length_b 5.238
_cell_length_c 5.238
_cell_angle_alpha 90.00
_cell_angle_beta 90.00
_cell_angle_gamma 90.00
_symmetry_space_group_name_H-M 'P m -3 m'
_symmetry_Int_Tables_number 221
_symmetry_space_group_name_Hall '-P 4 2 3'
loop_
_atom_site_label
_atom_site_type_symbol
_atom_site_fract_x
_atom_site_fract_y
_atom_site_fract_z
Hf1 Hf 0.000 0.000 0.000
Mg1 Mg 0.500 0.500 0.500
Sn1 Sn 0.000 0.500 0.500
# * DFT formation energy: 789 meV/atom
# * E above lowest polymorph: 441 meV/atom
# * total magnetic moment: 0.0 μB/cell
# * VASP energy: -19.611 eV for the cell shown

Entry 4:
# HfMgSn, optimized geometry, DFT PBE
data_HfMgSn
_cell_length_a 5.769
_cell_length_b 8.485
_cell_length_c 11.938
_cell_angle_alpha 90.00
_cell_angle_beta 90.00
_cell_angle_gamma 90.00
_symmetry_space_group_name_H-M 'F m m m'
_symmetry_Int_Tables_number 69
_symmetry_space_group_name_Hall '-F 2 2'
loop_
_atom_site_label
_atom_site_type_symbol
_atom_site_fract_x
_atom_site_fract_y
_atom_site_fract_z
Hf1 Hf 0.250 0.250 0.250
Mg1 Mg 0.000 0.178 0.000
Sn1 Sn 0.000 0.000 0.378
# * DFT formation energy: 89 meV/atom
# * total magnetic moment: 0.0 μB/cell
# * VASP energy: -122.273 eV for the cell shown

Entry 5:
# HfMgSn3, optimized geometry, DFT PBE
data_HfMgSn3
_cell_length_a 5.539
_cell_length_b 5.539
_cell_length_c 5.539
_cell_angle_alpha 90.00
_cell_angle_beta 90.00
_cell_angle_gamma 90.00
_symmetry_space_group_name_H-M 'P m -3 m'
_symmetry_Int_Tables_number 221
_symmetry_space_group_name_Hall '-P 4 2 3'
loop_
_atom_site_label
_atom_site_type_symbol
_atom_site_fract_x
_atom_site_fract_y
_atom_site_fract_z
Hf1 Hf 0.000 0.000 0.000
Mg1 Mg 0.500 0.500 0.500
Sn1 Sn 0.000 0.000 0.500
# * DFT formation energy: 348 meV/atom
# * E above lowest polymorph: 0 meV/atom
# * total magnetic moment: 0.0 μB/cell
# * VASP energy: -21.816 eV for the cell shown

Entry 6:
# HfMgSn2, optimized geometry, DFT PBE
data_HfMgSn2
_cell_length_a 3.763
_cell_length_b 3.763
_cell_length_c 6.423
_cell_angle_alpha 90.00
_cell_angle_beta 90.00
_cell_angle_gamma 90.00
_symmetry_space_group_name_H-M 'P 4/m m m'
_symmetry_Int_Tables_number 123
_symmetry_space_group_name_Hall '-P 4 2'
loop_
_atom_site_label
_atom_site_type_symbol
_atom_site_fract_x
_atom_site_fract_y
_atom_site_fract_z
Hf1 Hf 0.000 0.000 0.000
Mg1 Mg 0.000 0.000 0.500
Sn1 Sn 0.500 0.500 0.245
# * DFT formation energy: -138 meV/atom
# * total magnetic moment: 0.0 μB/cell
# * VASP energy: -20.106 eV for the cell shown

Entry 7:
# Hf2MgSn, optimized geometry, DFT PBE
data_Hf2MgSn
_cell_length_a 3.1221
_cell_length_b 3.1221
_cell_length_c 33.3864
_cell_angle_alpha 90.00
_cell_angle_beta 90.00
_cell_angle_gamma 120.00
_symmetry_space_group_name_H-M 'R -3 m'
_symmetry_Int_Tables_number 166
_symmetry_space_group_name_Hall '-R 3 2"'
loop_
_atom_site_label
_atom_site_type_symbol
_atom_site_fract_x
_atom_site_fract_y
_atom_site_fract_z
Hf1 Hf 0.0000 0.0000 0.0902
Mg1 Mg 0.0000 0.0000 0.0000
Sn1 Sn 0.0000 0.0000 0.5000
# * DFT formation energy: 211 meV/atom
# * E above lowest polymorph: 381 meV/atom
# * total magnetic moment: 0.0 μB/cell
# * VASP energy: -73.982 eV for the cell shown

Entry 8:
# HfMgSn, optimized geometry, DFT PBE
data_HfMgSn
_cell_length_a 4.8475
_cell_length_b 4.8475
_cell_length_c 3.1888
_cell_angle_alpha 90.00
_cell_angle_beta 90.00
_cell_angle_gamma 120.00
_symmetry_space_group_name_H-M 'P 3 m 1'
_symmetry_Int_Tables_number 156
_symmetry_space_group_name_Hall 'P 3 -2"'
loop_
_atom_site_label
_atom_site_type_symbol
_atom_site_fract_x
_atom_site_fract_y
_atom_site_fract_z
Hf1 Hf 0.0000 0.0000 0.0000
Mg1 Mg 0.6667 0.3333 0.4996
Sn1 Sn 0.3333 0.6667 0.5014
# * DFT formation energy: -38 meV/atom
# * total magnetic moment: 0.0 μB/cell
# * VASP energy: -15.664 eV for the cell shown

Entry 9:
# Hf3MgSn, optimized geometry, DFT PBE
data_Hf3MgSn
_cell_length_a 5.260
_cell_length_b 5.260
_cell_length_c 5.260
_cell_angle_alpha 90.00
_cell_angle_beta 90.00
_cell_angle_gamma 90.00
_symmetry_space_group_name_H-M 'P m -3 m'
_symmetry_Int_Tables_number 221
_symmetry_space_group_name_Hall '-P 4 2 3'
loop_
_atom_site_label
_atom_site_type_symbol
_atom_site_fract_x
_atom_site_fract_y
_atom_site_fract_z
Hf1 Hf 0.000 0.000 0.500
Mg1 Mg 0.500 0.500 0.500
Sn1 Sn 0.000 0.000 0.000
# * DFT formation energy: 954 meV/atom
# * E above lowest polymorph: 0 meV/atom
# * total magnetic moment: 0.0 μB/cell
# * VASP energy: -30.686 eV for the cell shown

Entry 10:
# HfMgSn2, optimized geometry, DFT PBE
data_HfMgSn2
_cell_length_a 4.4273
_cell_length_b 4.4273
_cell_length_c 18.1297
_cell_angle_alpha 90.00
_cell_angle_beta 90.00
_cell_angle_gamma 120.00
_symmetry_space_group_name_H-M 'R 3 m'
_symmetry_Int_Tables_number 160
_symmetry_space_group_name_Hall 'R 3 -2"'
loop_
_atom_site_label
_atom_site_type_symbol
_atom_site_fract_x
_atom_site_fract_y
_atom_site_fract_z
Hf1 Hf 0.0000 0.0000 0.0000
Mg1 Mg 0.0000 0.0000 0.8234
Sn1 Sn 0.0000 0.0000 0.4122
Sn2 Sn 0.0000 0.0000 0.5821
# * DFT formation energy: -63 meV/atom
# * total magnetic moment: 0.0 μB/cell
# * VASP energy: -59.413 eV for the cell shown

Entry 11:
# HfMg2Sn, optimized geometry, DFT PBE
data_HfMg2Sn
_cell_length_a 8.144
_cell_length_b 8.144
_cell_length_c 5.811
_cell_angle_alpha 90.00
_cell_angle_beta 90.00
_cell_angle_gamma 90.00
_symmetry_space_group_name_H-M 'I -4 2 d'
_symmetry_Int_Tables_number 122
_symmetry_space_group_name_Hall 'I -4 2bw'
loop_
_atom_site_label
_atom_site_type_symbol
_atom_site_fract_x
_atom_site_fract_y
_atom_site_fract_z
Hf1 Hf 0.000 0.000 0.000
Mg1 Mg 0.229 0.250 0.625
Sn1 Sn 0.000 0.000 0.500
# * DFT formation energy: 262 meV/atom
# * total magnetic moment: 0.0 μB/cell
# * VASP energy: -64.386 eV for the cell shown

Entry 12:
# Hf12MgSn6, optimized geometry, DFT PBE
data_Hf12MgSn6
_cell_length_a 13.6752
_cell_length_b 13.6752
_cell_length_c 7.7784
_cell_angle_alpha 90.00
_cell_angle_beta 90.00
_cell_angle_gamma 120.00
_symmetry_space_group_name_H-M 'R -3'
_symmetry_Int_Tables_number 148
_symmetry_space_group_name_Hall '-R 3'
loop_
_atom_site_label
_atom_site_type_symbol
_atom_site_fract_x
_atom_site_fract_y
_atom_site_fract_z
Hf1 Hf 0.0087 0.1350 0.1681
Hf2 Hf 0.0627 0.5712 0.1664
Mg1 Mg 0.0000 0.0000 0.5000
Sn1 Sn 0.0280 0.2688 0.8408
# * DFT formation energy: -200 meV/atom
# * total magnetic moment: 0.0 μB/cell
# * VASP energy: -446.548 eV for the cell shown

Copy entry 7 word for word.
# Hf2MgSn, optimized geometry, DFT PBE
data_Hf2MgSn
_cell_length_a 3.1221
_cell_length_b 3.1221
_cell_length_c 33.3864
_cell_angle_alpha 90.00
_cell_angle_beta 90.00
_cell_angle_gamma 120.00
_symmetry_space_group_name_H-M 'R -3 m'
_symmetry_Int_Tables_number 166
_symmetry_space_group_name_Hall '-R 3 2"'
loop_
_atom_site_label
_atom_site_type_symbol
_atom_site_fract_x
_atom_site_fract_y
_atom_site_fract_z
Hf1 Hf 0.0000 0.0000 0.0902
Mg1 Mg 0.0000 0.0000 0.0000
Sn1 Sn 0.0000 0.0000 0.5000
# * DFT formation energy: 211 meV/atom
# * E above lowest polymorph: 381 meV/atom
# * total magnetic moment: 0.0 μB/cell
# * VASP energy: -73.982 eV for the cell shown